This record from the Alexandria database describes an optimized crystal structure of Be2InNi. The functional is PBE.

a b c (Å): 3.692 2.716 5.145
angles (deg): 75.17 90.00 90.00
Fractional coordinates of all 4 atoms:
Be 0.500 0.090 0.200
Be 0.000 0.193 0.980
In 0.000 0.453 0.479
Ni 0.500 0.764 0.841

Summary:
Final energy   -3.858 eV per atom
Energy of formation   0.14 eV per atom
E above lowest polymorph   0.0855 eV per atom
Calculated density   6.4 g cm⁻³
Symmetry   Pm, No. 6